! CdPdCl6 (GGA-PBE, optimized geometry); values from VASP
! energy relative to the elements, uncorrected	-0.54	eV per atom
! SG	No. 148
! offset from the most stable computed form	17	meV per atom
&SYSTEM
  ibrav = 0, nat = 8, ntyp = 3
/
ATOMIC_SPECIES
Cd 112.41 Cd.upf
Pd 106.42 Pd.upf
Cl 35.45 Cl.upf
CELL_PARAMETERS angstrom
3.128 1.806 5.671
-3.128 1.806 5.671
0.000 -3.611 5.671
ATOMIC_POSITIONS crystal
Cd 0.000 0.000 0.000
Pd 0.500 0.500 0.500
Cl 0.103 0.722 0.437
Cl 0.278 0.563 0.897
Cl 0.437 0.103 0.722
Cl 0.563 0.897 0.278
Cl 0.722 0.437 0.103
Cl 0.897 0.278 0.563